[1]
GdSbAu | PBE | relaxed

Cell lengths 5.3920, 5.3920, 5.3920 Å; angles 135.39, 135.39, 64.92 degrees
Fractional coordinates of all 3 atoms:
Gd (0.0000, 0.0000, 0.0000)
Sb (0.3459, 0.3459, 0.0000)
Au (0.6658, 0.6658, 0.0000)

Summary:
D(E_F)   2.966 states/eV/cell
Raw formation energy   -0.622 eV per atom
Symmetry   I4mm
Crystal system   tetragonal
Total energy   -7.782 eV/atom

[2]
Y3Ga5 | PBE | relaxed

Cell lengths 11.2593, 7.5818, 9.2953 Å; angles 83.03, 41.94, 55.03 degrees
Fractional coordinates of all 16 atoms:
Y (0.0000, 0.0000, 0.0000)
Y (0.2500, 0.2500, 0.2500)
Y (0.3337, 0.6722, 0.3237)
Y (0.5795, 0.9263, 0.5778)
Y (0.6722, 0.3337, 0.6705)
Y (0.9263, 0.5795, 0.9163)
Ga (0.0503, 0.7645, 0.2979)
Ga (0.1839, 0.4912, 0.9861)
Ga (0.2639, 0.9112, 0.0661)
Ga (0.3627, 0.9521, 0.4855)
Ga (0.4472, 0.4472, 0.5528)
Ga (0.4912, 0.1839, 0.3388)
Ga (0.6972, 0.6972, 0.8028)
Ga (0.7645, 0.0503, 0.8873)
Ga (0.9112, 0.2639, 0.7588)
Ga (0.9521, 0.3627, 0.1997)

Summary:
D(E_F)   13.145 states/eV/cell
ΔH_f (0 K)   -0.559 eV per atom
Symmetry   Fdd2
Crystal system   orthorhombic
Total energy   -4.875 eV/atom

[3]
PuU12Ge6 | PBE | relaxed

Cell lengths 8.0295, 8.0295, 8.0295 Å; angles 108.74, 108.74, 108.74 degrees
Fractional coordinates of all 19 atoms:
Pu (0.0000, 0.0000, 0.0000)
U (0.1432, 0.3025, 0.8369)
U (0.1599, 0.4538, 0.6025)
U (0.1631, 0.8568, 0.6975)
U (0.3025, 0.8369, 0.1432)
U (0.3975, 0.8401, 0.5462)
U (0.4538, 0.6025, 0.1599)
U (0.5462, 0.3975, 0.8401)
U (0.6025, 0.1599, 0.4538)
U (0.6975, 0.1631, 0.8568)
U (0.8369, 0.1432, 0.3025)
U (0.8401, 0.5462, 0.3975)
U (0.8568, 0.6975, 0.1631)
Ge (0.0924, 0.4438, 0.2078)
Ge (0.2078, 0.0924, 0.4438)
Ge (0.4438, 0.2078, 0.0924)
Ge (0.5562, 0.7922, 0.9076)
Ge (0.7922, 0.9076, 0.5562)
Ge (0.9076, 0.5562, 0.7922)

Summary:
D(E_F)   49.273 states/eV/cell
ΔH_f (0 K)   -0.137 eV per atom
Symmetry   R-3
Crystal system   trigonal
Total energy   -9.478 eV/atom